Sc2HgPb after structural relaxation. Source: Alexandria via LeMat-Bulk, functional GGA-PBEsol.

Unit cell a=3.5564 b=3.5564 c=6.9408 alpha=90.00 beta=90.00 gamma=90.00
Space group P4/mmm (No. 123)
One atom of each set of equivalent atoms:
Sc 0.0000 0.0000 0.2403 [2 per cell]
Hg 0.5000 0.5000 0.0000 [1 per cell]
Pb 0.5000 0.5000 0.5000 [1 per cell]

- ΔH_f (0 K) (eV per atom) = -0.44
- density (g/cm3) = 9.4
- DOS at the Fermi energy (states/eV per cell) = 3.38